(1)
VASP calculation (PBE-GGA) on a relaxed V4Tc2H crystal.

a = 7.5047 Å, b = 7.5047 Å, c = 7.5047 Å
α = 152.58°, β = 152.58°, γ = 39.17°
Closest atoms and distances in Å follow each position.
Atoms (fractional coordinates):
V 0.0000 0.5000 0.5000  2 H 1.78
V 0.1762 0.1762 0.0000  1 H 2.49, 5 Tc 2.54-2.56
V 0.5000 0.0000 0.5000  2 H 1.78
V 0.8238 0.8238 0.0000  1 H 2.49, 5 Tc 2.54-2.56
Tc 0.3560 0.3560 0.0000  9 V 2.54-2.70
Tc 0.6440 0.6440 0.0000  9 V 2.54-2.70
H 0.0000 0.0000 0.0000  4 V 1.78

Values from the calculation:
Electronic total energy in eV per atom: -8.4934
Crystal system: tetragonal
D(E_F) in states/eV per atom: 0.602
Size of the total moment in μB per formula unit: 0.0

***

(2)
VASP calculation (PBE-GGA) on a relaxed TcHg2P crystal.

a = 3.1055 Å, b = 3.1055 Å, c = 7.8290 Å
α = 90.00°, β = 90.00°, γ = 90.00°
Closest atoms and distances in Å follow each position.
Atoms (fractional coordinates):
Tc 0.0000 0.0000 0.0000  4 P 2.41
Hg 0.0000 0.0000 0.5867  8 Hg 3.11-3.34, 4 P 3.14, 1 Tc 3.24
Hg 0.5000 0.5000 0.2657  4 Tc 3.02, 1 P 3.08, 8 Hg 3.11-3.34
P 0.5000 0.5000 0.8728  4 Tc 2.41

Values from the calculation:
Electronic total energy in eV per atom: -4.0179
Crystal system: tetragonal
D(E_F) in states/eV per atom: 0.616
Size of the total moment in μB per formula unit: 0.0

***

(3)
VASP calculation (PBE-GGA) on a relaxed Li3GeW crystal.

a = 4.5975 Å, b = 4.5975 Å, c = 4.5975 Å
α = 90.00°, β = 90.00°, γ = 90.00°
Closest atoms and distances in Å follow each position.
Atoms (fractional coordinates):
Li 0.0000 0.0000 0.5000  2 Ge 2.30
Li 0.0000 0.5000 0.0000  2 Ge 2.30
Li 0.5000 0.0000 0.0000  2 Ge 2.30
Ge 0.0000 0.0000 0.0000  6 Li 2.30
W 0.5000 0.5000 0.5000  12 Li 3.25

Values from the calculation:
Polymorph energy (0 for the lowest one) in meV/atom: 0
Crystal system: cubic
D(E_F) in states/eV per atom: 0.462
Size of the total moment in μB per formula unit: 4.0

***

(4)
VASP calculation (PBE-GGA) on a relaxed PrPu2Ge2 crystal.

a = 7.6074 Å, b = 7.6074 Å, c = 8.7116 Å
α = 90.00°, β = 90.00°, γ = 151.32°
Closest atoms and distances in Å follow each position.
Atoms (fractional coordinates):
Pr 0.1015 0.8985 0.5000  6 Ge 3.15-3.40
Pr 0.8985 0.1015 0.0000  6 Ge 3.15-3.40
Pu 0.1646 0.8354 0.1010  2 Pu 2.52
Pu 0.3768 0.6232 0.4223  2 Pu 2.52, 1 Ge 2.82
Pu 0.6232 0.3768 0.9223  2 Pu 2.52, 1 Ge 2.82
Pu 0.8354 0.1646 0.6010  2 Pu 2.52
Ge 0.2586 0.7414 0.8155  5 Pu 2.85-2.90
Ge 0.4808 0.5192 0.7062  4 Pu 2.82-3.00, 2 Pr 3.15
Ge 0.5192 0.4808 0.2062  4 Pu 2.82-3.00, 2 Pr 3.15
Ge 0.7414 0.2586 0.3155  5 Pu 2.85-2.90

Values from the calculation:
Polymorph energy (0 for the lowest one) in meV/atom: 0
Crystal system: orthorhombic
D(E_F) in states/eV per atom: 2.078
Size of the total moment in μB per formula unit: 0.1

***

(5)
VASP calculation (PBE-GGA) on a relaxed Tl2Ga2Sn crystal.

a = 6.3007 Å, b = 6.3007 Å, c = 6.3007 Å
α = 139.65°, β = 121.57°, γ = 73.40°
Closest atoms and distances in Å follow each position.
Atoms (fractional coordinates):
Tl 0.2161 0.2161 0.0000  6 Ga 3.34-3.38, 2 Sn 3.60
Tl 0.7839 0.7839 0.0000  6 Ga 3.34-3.38, 2 Sn 3.60
Ga 0.2082 0.5000 0.7082  1 Ga 2.56, 2 Sn 2.82
Ga 0.7918 0.5000 0.2918  1 Ga 2.56, 2 Sn 2.82
Sn 0.5000 0.0000 0.5000  4 Ga 2.82

Values from the calculation:
Polymorph energy (0 for the lowest one) in meV/atom: 6
Crystal system: orthorhombic
D(E_F) in states/eV per atom: 0.342
Size of the total moment in μB per formula unit: 0.0

***

(6)
VASP calculation (PBE-GGA) on a relaxed Ac5Bi2Te4 crystal.

a = 22.2927 Å, b = 22.2927 Å, c = 22.2927 Å
α = 13.19°, β = 13.19°, γ = 13.19°
Closest atoms and distances in Å follow each position.
Atoms (fractional coordinates):
Ac 0.0000 0.0000 0.0000  6 Bi 3.51
Ac 0.1301 0.1301 0.1301  4 Te 3.16-3.19
Ac 0.2775 0.2775 0.2775  3 Te 3.43, 3 Bi 3.46
Ac 0.7225 0.7225 0.7225  3 Te 3.43, 3 Bi 3.46
Ac 0.8699 0.8699 0.8699  4 Te 3.16-3.19
Bi 0.3619 0.3619 0.3619  6 Ac 3.46-3.51
Bi 0.6381 0.6381 0.6381  6 Ac 3.46-3.51
Te 0.0820 0.0820 0.0820  4 Ac 3.19-3.43
Te 0.1862 0.1862 0.1862  3 Ac 3.16
Te 0.8138 0.8138 0.8138  3 Ac 3.16
Te 0.9180 0.9180 0.9180  4 Ac 3.19-3.43

Values from the calculation:
Crystal system: trigonal
Formation energy (no corrections) in meV/atom: -1173.5
D(E_F) in states/eV per atom: 0.426
Size of the total moment in μB per formula unit: 0.0

***

(7)
VASP calculation (PBE-GGA) on a relaxed Cs2NaP2O6 crystal.

a = 6.2679 Å, b = 6.2679 Å, c = 6.9277 Å
α = 116.77°, β = 116.77°, γ = 59.89°
Closest atoms and distances in Å follow each position.
Atoms (fractional coordinates):
Cs 0.2248 0.2248 0.1763  9 O 3.18-3.35
Cs 0.7752 0.7752 0.8237  9 O 3.18-3.35
Na 0.0000 0.0000 0.5000  6 O 2.55-2.57
P 0.4313 0.4313 0.7910  3 O 1.53
P 0.5687 0.5687 0.2090  3 O 1.53
O 0.2768 0.2768 0.7407  1 P 1.53
O 0.2769 0.6917 0.7426  1 P 1.53
O 0.3083 0.7231 0.2574  1 P 1.53
O 0.6917 0.2769 0.7426  1 P 1.53
O 0.7231 0.3083 0.2574  1 P 1.53
O 0.7232 0.7232 0.2593  1 P 1.53

Values from the calculation:
Crystal system: monoclinic
Formation energy (no corrections) in meV/atom: -2050.5
D(E_F) in states/eV per atom: 0.059
Size of the total moment in μB per formula unit: 1.0

***

(8)
VASP calculation (PBE-GGA) on a relaxed RbCu6Se4 crystal.

a = 7.5017 Å, b = 7.5017 Å, c = 4.0281 Å
α = 90.00°, β = 90.00°, γ = 120.00°
Closest atoms and distances in Å follow each position.
Atoms (fractional coordinates):
Rb 0.0000 0.0000 0.0000  6 Se 3.15, 6 Cu 3.37
Cu 0.2075 0.4150 0.5000  4 Se 2.57-2.59, 2 Cu 2.83
Cu 0.2075 0.7925 0.5000  4 Se 2.57-2.59, 2 Cu 2.83
Cu 0.5501 0.1002 0.0000  2 Cu 2.62, 5 Se 2.67-2.82
Cu 0.5501 0.4499 0.0000  2 Cu 2.62, 5 Se 2.67-2.82
Cu 0.5850 0.7925 0.5000  4 Se 2.57-2.59, 2 Cu 2.83
Cu 0.8998 0.4499 0.0000  2 Cu 2.62, 5 Se 2.67-2.82
Se 0.3333 0.6667 0.0000  9 Cu 2.59-2.82
Se 0.3722 0.1861 0.5000  6 Cu 2.57-2.67
Se 0.8139 0.1861 0.5000  6 Cu 2.57-2.67
Se 0.8139 0.6278 0.5000  6 Cu 2.57-2.67

Values from the calculation:
Polymorph energy (0 for the lowest one) in meV/atom: 205
Crystal system: hexagonal
Formation energy (no corrections) in meV/atom: -66.5
D(E_F) in states/eV per atom: 0.605
Size of the total moment in μB per formula unit: 0.0

***

(9)
VASP calculation (PBE-GGA) on a relaxed CeYGeRh crystal.

a = 5.0134 Å, b = 5.0134 Å, c = 5.0134 Å
α = 60.00°, β = 60.00°, γ = 60.00°
Closest atoms and distances in Å follow each position.
Atoms (fractional coordinates):
Ce 0.0000 0.0000 0.0000  4 Ge 3.07, 4 Rh 3.07
Y 0.5000 0.5000 0.5000  4 Rh 3.07, 4 Ge 3.07
Ge 0.2500 0.2500 0.2500  4 Y 3.07, 4 Ce 3.07
Rh 0.7500 0.7500 0.7500  4 Ce 3.07, 4 Y 3.07

Values from the calculation:
Electronic total energy in eV per atom: -6.7371
Crystal system: cubic
D(E_F) in states/eV per atom: 1.284
Size of the total moment in μB per formula unit: 0.4

***

(10)
VASP calculation (PBE-GGA) on a relaxed AcYH2 crystal.

a = 6.4289 Å, b = 6.4289 Å, c = 6.4289 Å
α = 33.66°, β = 33.66°, γ = 33.66°
Closest atoms and distances in Å follow each position.
Atoms (fractional coordinates):
Ac 0.0000 0.0000 0.0000  6 H 2.85
Y 0.5000 0.5000 0.5000  6 H 2.44
H 0.2303 0.2303 0.2303  3 Y 2.44
H 0.7697 0.7697 0.7697  3 Y 2.44

Values from the calculation:
Polymorph energy (0 for the lowest one) in meV/atom: 0
Crystal system: trigonal
D(E_F) in states/eV per atom: 0.701
Size of the total moment in μB per formula unit: 0.0

***

(11)
VASP calculation (PBE-GGA) on a relaxed SrMnCo3 crystal.

a = 4.5950 Å, b = 4.5950 Å, c = 4.5950 Å
α = 90.00°, β = 90.00°, γ = 90.00°
Closest atoms and distances in Å follow each position.
Atoms (fractional coordinates):
Sr 0.0000 0.0000 0.0000  6 Co 2.30
Mn 0.5000 0.5000 0.5000  12 Co 3.25
Co 0.0000 0.0000 0.5000  2 Sr 2.30
Co 0.0000 0.5000 0.0000  2 Sr 2.30
Co 0.5000 0.0000 0.0000  2 Sr 2.30

Values from the calculation:
Polymorph energy (0 for the lowest one) in meV/atom: 1935
Crystal system: cubic
D(E_F) in states/eV per atom: 2.698
Size of the total moment in μB per formula unit: 3.4

***

(12)
VASP calculation (PBE-GGA) on a relaxed CdCu2AgN crystal.

a = 3.8590 Å, b = 3.8590 Å, c = 5.1078 Å
α = 90.00°, β = 90.00°, γ = 90.00°
Closest atoms and distances in Å follow each position.
Atoms (fractional coordinates):
Cd 0.0000 0.0000 0.0000  4 Ag 2.73
Cu 0.0000 0.5000 0.5000  2 N 1.93
Cu 0.5000 0.0000 0.5000  2 N 1.93
Ag 0.5000 0.5000 0.0000  2 N 2.55, 4 Cd 2.73
N 0.5000 0.5000 0.5000  4 Cu 1.93

Values from the calculation:
Crystal system: tetragonal
Formation energy (no corrections) in meV/atom: 379.7
D(E_F) in states/eV per atom: 0.255
Size of the total moment in μB per formula unit: 0.0